Entry 1:
! RbZn2Au (SCAN, single point on PBEsol structure); values from VASP
! * mass density: 7.703 g/cm³
! * spin magnetization: 0.000 μB per formula unit
! * ΔH_f (0 K): 1.0 eV per formula unit
&SYSTEM
  ibrav = 0, nat = 4, ntyp = 3
/
ATOMIC_SPECIES
Zn 65.41 Zn.upf
Au 196.97 Au.upf
Rb 85.47 Rb.upf
CELL_PARAMETERS angstrom
5.013 0.000 0.000
2.507 4.341 0.000
2.507 1.447 4.093
ATOMIC_POSITIONS angstrom
Zn 7.520 4.341 3.070
Au 5.013 2.894 2.047
Rb 0.000 0.000 0.000
Zn 2.507 1.447 1.023

Entry 2:
! LaAgMo2O8 (SCAN, single point on PBEsol structure); values from VASP
! * ΔE_f (raw): -2.370 eV/atom
! * mass density: 5.800 g/cm³
! * spin magnetization: 0.005 μB per formula unit
&SYSTEM
  ibrav = 0, nat = 12, ntyp = 4
/
ATOMIC_SPECIES
O 16.00 O.upf
Ag 107.87 Ag.upf
La 138.91 La.upf
Mo 95.94 Mo.upf
CELL_PARAMETERS angstrom
5.327 0.000 0.000
0.000 5.327 0.000
-2.664 -2.664 5.717
ATOMIC_POSITIONS angstrom
O 4.525 4.058 0.954
O -1.395 1.862 4.763
O 3.435 1.247 1.858
Ag 0.000 2.664 2.859
La 2.664 2.664 0.000
Mo 2.664 0.000 2.859
Mo 0.000 0.000 0.000
O 0.802 1.269 0.954
O 1.892 4.080 1.858
O 1.416 0.772 3.859
O -1.416 -0.772 3.859
O 1.395 -1.862 4.763

Entry 3:
! K2PrZrP3O12 (SCAN, single point on PBEsol structure); values from VASP
! * ΔE_f (raw): -2.994 eV/atom
! * mass density: 3.396 g/cm³
! * spin magnetization: 0.000 μB per formula unit
&SYSTEM
  ibrav = 0, nat = 76, ntyp = 5
/
ATOMIC_SPECIES
Pr 140.91 Pr.upf
K 39.10 K.upf
P 30.97 P.upf
O 16.00 O.upf
Zr 91.22 Zr.upf
CELL_PARAMETERS angstrom
-8.388 4.710 4.257
-6.349 -6.177 -5.675
-0.041 -7.094 7.768
ATOMIC_POSITIONS angstrom
Pr -4.079 -5.024 8.569
K -4.565 -2.645 1.962
P -10.887 -4.533 6.482
O -8.503 -2.144 -1.907
P -9.615 0.243 5.608
O -2.946 0.630 2.330
O -4.629 -7.212 4.948
O -5.665 -6.698 -3.033
P -4.562 -7.952 6.318
O -8.819 -2.733 2.811
O -8.636 -4.722 -1.020
O -13.013 -9.345 5.358
Zr -6.346 -0.376 4.680
O -12.238 -0.351 1.899
O -12.074 -5.380 5.932
K -7.559 -6.480 7.221
O -9.032 -0.566 1.510
O -6.727 -4.583 5.186
P -1.311 -5.045 6.077
O -2.044 -5.203 7.410
O -7.448 -2.346 0.743
O -9.668 -9.080 3.620
O -5.690 -1.884 -1.465
O -12.697 -4.508 2.736
O -10.418 0.394 4.314
P -7.048 2.482 2.873
O -3.199 -1.615 -1.288
P -5.425 -3.787 5.324
Zr -12.635 -7.320 5.429
K -9.461 -7.791 1.026
O -0.923 -3.110 1.995
P -5.148 -5.263 -3.147
O -7.628 -9.762 -0.063
O -8.556 2.478 2.612
K -11.427 -2.210 3.977
O -4.322 -4.330 4.366
O -2.061 -5.321 2.349
O -12.256 -6.928 3.420
Pr -8.497 -4.923 3.651
O -8.548 -7.195 -1.567
Zr -3.497 -6.086 3.613
Zr -7.079 -3.342 -1.023
Pr -10.461 1.199 2.108
P -11.907 -5.783 2.423
O -4.799 -6.967 7.465
P -6.038 -5.872 1.086
O -10.398 -5.530 2.413
O -3.132 -7.936 2.783
K -1.108 -0.642 0.476
K -10.940 -3.098 -0.164
P -9.273 -5.878 -1.849
O -5.959 -4.575 0.226
P -8.085 -1.668 1.990
O -4.875 -5.770 2.114
O -4.390 0.171 4.333
K -8.027 -2.273 7.728
P -9.368 -8.317 4.915
K -6.023 -9.108 3.175
O -6.248 -4.255 -2.699
O -5.803 -7.104 0.211
O -6.294 -5.043 9.404
O -8.310 -0.566 5.343
O -14.586 -7.013 4.841
O -7.365 -5.958 1.848
O -13.306 -7.341 7.377
O -8.557 -7.047 4.653
O -9.931 -4.159 5.347
O -10.676 -7.973 5.689
O -6.900 -1.050 2.790
O -4.916 -3.773 6.766
O -6.711 1.591 4.106
O -1.946 -5.972 4.998
Pr -6.519 -8.376 -1.629
O -5.978 -0.124 6.692
O -10.163 -5.259 7.622
O -5.686 -2.318 4.881

Entry 4:
! NaPbSe2Br (SCAN, single point on PBEsol structure); values from VASP
! * ΔE_f (raw): -0.052 eV/atom
! * mass density: 5.750 g/cm³
! * spin magnetization: 0.000 μB per formula unit
&SYSTEM
  ibrav = 0, nat = 5, ntyp = 4
/
ATOMIC_SPECIES
Se 78.96 Se.upf
Br 79.90 Br.upf
Na 22.99 Na.upf
Pb 207.20 Pb.upf
CELL_PARAMETERS angstrom
5.028 0.000 0.000
0.000 5.028 0.000
0.000 0.000 5.346
ATOMIC_POSITIONS angstrom
Se 2.514 0.000 0.000
Br 0.000 0.000 2.673
Na 0.000 0.000 0.000
Se 0.000 2.514 0.000
Pb 2.514 2.514 2.673

Entry 5:
! ZnSiAu2 (SCAN, single point on PBEsol structure); values from VASP
! * ΔE_f (raw): -0.108 eV/atom
! * mass density: 12.703 g/cm³
! * spin magnetization: 0.000 μB per formula unit
&SYSTEM
  ibrav = 0, nat = 4, ntyp = 3
/
ATOMIC_SPECIES
Zn 65.41 Zn.upf
Au 196.97 Au.upf
Si 28.09 Si.upf
CELL_PARAMETERS angstrom
3.505 0.000 0.000
0.000 3.505 0.000
0.000 0.000 5.185
ATOMIC_POSITIONS angstrom
Zn 1.753 1.753 4.036
Au 1.753 1.753 1.506
Si 0.000 0.000 2.427
Au 0.000 0.000 4.994

Entry 6:
! TbTiClO3 (SCAN, single point on PBEsol structure); values from VASP
! * ΔE_f (raw): -3.399 eV/atom
! * mass density: 5.447 g/cm³
! * spin magnetization: 0.000 μB per formula unit
&SYSTEM
  ibrav = 0, nat = 12, ntyp = 4
/
ATOMIC_SPECIES
Ti 47.87 Ti.upf
Cl 35.45 Cl.upf
O 16.00 O.upf
Tb 158.93 Tb.upf
CELL_PARAMETERS angstrom
-1.270 1.973 -3.100
-4.592 -1.845 -1.730
-6.832 5.723 4.005
ATOMIC_POSITIONS angstrom
Ti -7.773 2.708 -2.404
Cl -8.145 5.339 1.861
Ti -4.922 3.142 1.579
O -4.816 1.435 0.449
O -9.693 2.826 0.895
O -7.535 1.476 -0.849
Tb -2.842 1.270 -0.465
Tb -9.853 4.580 -0.360
O -3.002 3.024 -1.721
O -5.160 4.374 0.023
O -7.878 4.415 -1.274
Cl -4.550 0.511 -2.686

Entry 7:
! BaBiCl2 (SCAN, single point on PBEsol structure); values from VASP
! * ΔE_f (raw): -1.362 eV/atom
! * mass density: 4.022 g/cm³
! * spin magnetization: 1.166 μB per formula unit
&SYSTEM
  ibrav = 0, nat = 4, ntyp = 3
/
ATOMIC_SPECIES
Bi 208.98 Bi.upf
Ba 137.33 Ba.upf
Cl 35.45 Cl.upf
CELL_PARAMETERS angstrom
4.231 0.000 0.000
2.115 3.664 0.000
2.115 1.221 11.111
ATOMIC_POSITIONS angstrom
Bi 0.000 0.000 0.000
Ba 4.231 2.443 5.556
Cl 6.346 3.664 3.845
Cl 2.115 1.221 7.266

Entry 8:
! KSb2 (SCAN, single point on PBEsol structure); values from VASP
! * ΔE_f (raw): -0.352 eV/atom
! * mass density: 4.515 g/cm³
! * spin magnetization: 0.000 μB per formula unit
&SYSTEM
  ibrav = 0, nat = 6, ntyp = 2
/
ATOMIC_SPECIES
K 39.10 K.upf
Sb 121.76 Sb.upf
CELL_PARAMETERS angstrom
-4.236 0.024 -0.100
-0.079 -6.803 1.731
1.973 2.116 6.717
ATOMIC_POSITIONS angstrom
K -0.137 -0.975 5.552
Sb -2.313 -3.654 7.324
Sb -2.183 -0.041 2.700
Sb -0.030 -1.010 1.024
Sb -0.160 -4.623 5.648
K -2.206 -3.689 2.796

Entry 9:
! ScZnPt (SCAN, single point on PBEsol structure); values from VASP
! * mass density: 10.421 g/cm³
! * spin magnetization: 0.000 μB per formula unit
! * ΔH_f (0 K): -3.0 eV per formula unit
&SYSTEM
  ibrav = 0, nat = 3, ntyp = 3
/
ATOMIC_SPECIES
Zn 65.41 Zn.upf
Pt 195.08 Pt.upf
Sc 44.96 Sc.upf
CELL_PARAMETERS angstrom
2.913 0.000 0.000
0.000 4.393 0.000
0.000 -2.196 3.804
ATOMIC_POSITIONS angstrom
Zn 1.456 2.196 1.268
Pt 1.456 0.000 0.000
Sc 0.000 0.000 2.536

Entry 10:
! Y2PtRh2 (SCAN, single point on PBEsol structure); values from VASP
! * mass density: 10.158 g/cm³
! * spin magnetization: 0.000 μB per formula unit
! * ΔH_f (0 K): -4.9 eV per formula unit
&SYSTEM
  ibrav = 0, nat = 10, ntyp = 3
/
ATOMIC_SPECIES
Y 88.91 Y.upf
Rh 102.91 Rh.upf
Pt 195.08 Pt.upf
CELL_PARAMETERS angstrom
-0.582 -2.817 2.542
-0.711 -4.597 -5.258
6.903 -1.267 0.175
ATOMIC_POSITIONS angstrom
Y 0.708 -3.115 -0.392
Y 4.903 -5.567 -2.149
Rh 0.454 -3.066 -3.294
Y 4.262 -3.085 0.454
Pt 3.096 -2.932 -2.542
Rh 2.456 -1.069 -0.623
Rh 5.738 -2.799 -1.790
Rh 3.736 -4.796 -4.460
Y 1.349 -5.597 -2.996
Pt 0.000 0.000 0.000

Entry 11:
! Mg2CdAg (SCAN, single point on PBEsol structure); values from VASP
! * mass density: 5.773 g/cm³
! * spin magnetization: 0.000 μB per formula unit
! * ΔH_f (0 K): -0.6 eV per formula unit
&SYSTEM
  ibrav = 0, nat = 4, ntyp = 3
/
ATOMIC_SPECIES
Cd 112.41 Cd.upf
Ag 107.87 Ag.upf
Mg 24.30 Mg.upf
CELL_PARAMETERS angstrom
3.622 0.000 0.000
0.000 3.340 0.000
0.000 0.000 6.393
ATOMIC_POSITIONS angstrom
Cd 1.811 1.670 4.739
Ag 0.000 0.000 3.144
Mg 1.811 1.670 1.767
Mg 0.000 0.000 6.332

Entry 12:
! TlTe2OsN (SCAN, single point on PBEsol structure); values from VASP
! * ΔE_f (raw): 0.246 eV/atom
! * mass density: 9.713 g/cm³
! * spin magnetization: 0.000 μB per formula unit
&SYSTEM
  ibrav = 0, nat = 5, ntyp = 4
/
ATOMIC_SPECIES
Os 190.23 Os.upf
Tl 204.38 Tl.upf
N 14.01 N.upf
Te 127.60 Te.upf
CELL_PARAMETERS angstrom
-1.961 1.482 -2.718
-4.688 -1.789 2.406
-0.354 4.765 2.853
ATOMIC_POSITIONS angstrom
Os 0.000 0.000 0.000
Tl -3.502 2.229 1.270
N -0.981 0.741 -1.359
Te -2.344 -0.895 1.203
Te -0.177 2.382 1.426

Entry 13:
! BePdPt2Br (SCAN, single point on PBEsol structure); values from VASP
! * ΔE_f (raw): 0.537 eV/atom
! * mass density: 12.120 g/cm³
! * spin magnetization: 0.004 μB per formula unit
&SYSTEM
  ibrav = 0, nat = 5, ntyp = 4
/
ATOMIC_SPECIES
Pd 106.42 Pd.upf
Pt 195.08 Pt.upf
Br 79.90 Br.upf
Be 9.01 Be.upf
CELL_PARAMETERS angstrom
4.187 0.000 0.000
0.000 4.187 0.000
0.000 0.000 4.576
ATOMIC_POSITIONS angstrom
Pd 2.093 2.093 2.288
Pt 2.093 0.000 0.000
Br 0.000 0.000 2.288
Pt 0.000 2.093 0.000
Be 0.000 0.000 0.000

Entry 14:
! La2Ti3O9 (SCAN, single point on PBEsol structure); values from VASP
! * ΔE_f (raw): -3.567 eV/atom
! * mass density: 5.428 g/cm³
! * spin magnetization: 0.000 μB per formula unit
&SYSTEM
  ibrav = 0, nat = 28, ntyp = 3
/
ATOMIC_SPECIES
O 16.00 O.upf
Ti 47.87 Ti.upf
La 138.91 La.upf
CELL_PARAMETERS angstrom
-3.380 -3.590 2.311
-2.911 -5.329 -6.119
3.881 -7.752 0.052
ATOMIC_POSITIONS angstrom
O 0.951 -9.275 -3.248
O -0.212 -9.925 0.218
O -2.703 -14.112 -3.404
O 0.485 -6.541 -3.034
O -1.405 -4.361 0.808
O -3.838 -8.487 -2.853
O -1.747 -5.681 -1.612
Ti -1.429 -11.307 -0.405
Ti -3.065 -8.387 -4.679
O -2.199 -6.746 -3.975
La -2.094 -2.984 -1.283
O 1.428 -8.183 -0.903
O -0.809 -7.266 0.362
O 0.292 -2.558 -0.353
La -1.205 -8.335 -1.878
Ti 0.655 -8.284 0.922
Ti -0.224 -10.652 -4.041
O -1.602 -9.405 -4.119
Ti -0.982 -5.364 -3.352
O -3.362 -7.395 -0.508
La 0.000 0.000 0.000
O -1.690 -1.795 1.156
O -0.663 -10.990 -2.144
O 1.385 -11.856 -3.559
O -3.795 -4.814 -0.198
La -0.316 -13.687 -2.474
O -1.005 -12.309 -4.565
Ti -2.186 -6.019 0.285

Entry 15:
! BeZnGa2Os (SCAN, single point on PBEsol structure); values from VASP
! * mass density: 8.548 g/cm³
! * spin magnetization: 1.615 μB per formula unit
! * ΔH_f (0 K): 6.4 eV per formula unit
&SYSTEM
  ibrav = 0, nat = 5, ntyp = 4
/
ATOMIC_SPECIES
Ga 69.72 Ga.upf
Os 190.23 Os.upf
Zn 65.41 Zn.upf
Be 9.01 Be.upf
CELL_PARAMETERS angstrom
-3.023 -2.167 1.279
1.678 -3.573 -2.091
2.314 -1.062 3.671
ATOMIC_POSITIONS angstrom
Ga 1.157 -0.531 1.835
Os 0.484 -3.401 1.429
Zn 0.000 0.000 0.000
Be -1.512 -1.084 0.639
Ga 0.839 -1.787 -1.045

Entry 16:
! TaBeCr (SCAN, single point on PBEsol structure); values from VASP
! * mass density: 10.612 g/cm³
! * spin magnetization: 0.982 μB per formula unit
! * ΔH_f (0 K): 0.2 eV per formula unit
&SYSTEM
  ibrav = 0, nat = 3, ntyp = 3
/
ATOMIC_SPECIES
Be 9.01 Be.upf
Cr 52.00 Cr.upf
Ta 180.95 Ta.upf
CELL_PARAMETERS angstrom
-1.646 -2.617 0.077
2.610 -1.648 -0.200
-0.212 2.080 4.010
ATOMIC_POSITIONS angstrom
Be 0.745 -2.184 3.794
Cr 0.187 -0.037 2.736
Ta 0.571 -2.150 1.244

Entry 17:
! NaHf2Co (SCAN, single point on PBEsol structure); values from VASP
! * mass density: 10.595 g/cm³
! * spin magnetization: 0.563 μB per formula unit
! * ΔH_f (0 K): 1.7 eV per formula unit
&SYSTEM
  ibrav = 0, nat = 4, ntyp = 3
/
ATOMIC_SPECIES
Hf 178.49 Hf.upf
Co 58.93 Co.upf
Na 22.99 Na.upf
CELL_PARAMETERS angstrom
-2.163 0.749 3.989
-0.234 -3.341 3.152
2.417 0.343 3.898
ATOMIC_POSITIONS angstrom
Hf 0.005 -0.562 2.760
Co 0.010 -1.124 5.519
Hf 0.015 -1.687 8.279
Na 0.000 0.000 0.000

Entry 18:
! LaTl2 (SCAN, single point on PBEsol structure); values from VASP
! * mass density: 10.749 g/cm³
! * spin magnetization: 0.000 μB per formula unit
! * ΔH_f (0 K): -1.6 eV per formula unit
&SYSTEM
  ibrav = 0, nat = 12, ntyp = 2
/
ATOMIC_SPECIES
Tl 204.38 Tl.upf
La 138.91 La.upf
CELL_PARAMETERS angstrom
-3.529 3.569 -0.587
-2.398 -3.289 -5.579
-6.069 -5.080 5.604
ATOMIC_POSITIONS angstrom
Tl -7.001 -1.405 0.921
Tl -1.764 -0.049 -0.569
La -3.019 -1.757 -3.408
Tl -5.605 -3.117 3.870
La -8.977 -3.042 2.846
La -8.194 -3.028 -1.773
Tl -6.391 -1.682 -4.432
La -3.802 -1.772 1.212
Tl -4.995 -3.395 -1.482
Tl -10.232 -4.751 0.008
Tl -5.323 -0.147 -1.522
Tl -6.674 -4.653 0.960

Entry 19:
! ZrAl2Mo (SCAN, single point on PBEsol structure); values from VASP
! * mass density: 6.022 g/cm³
! * spin magnetization: 0.000 μB per formula unit
! * ΔH_f (0 K): -1.0 eV per formula unit
&SYSTEM
  ibrav = 0, nat = 4, ntyp = 3
/
ATOMIC_SPECIES
Zr 91.22 Zr.upf
Al 26.98 Al.upf
Mo 95.94 Mo.upf
CELL_PARAMETERS angstrom
-0.583 2.702 0.547
-3.800 -0.538 -3.338
-1.215 -1.602 4.672
ATOMIC_POSITIONS angstrom
Zr -2.799 0.281 0.940
Al -1.900 -0.269 -1.669
Al -0.608 -0.801 2.336
Mo -0.292 1.351 0.273

Entry 20:
! Sr4MoCl (SCAN, single point on PBEsol structure); values from VASP
! * ΔE_f (raw): 0.745 eV/atom
! * mass density: 3.121 g/cm³
! * spin magnetization: 4.301 μB per formula unit
&SYSTEM
  ibrav = 0, nat = 6, ntyp = 3
/
ATOMIC_SPECIES
Mo 95.94 Mo.upf
Sr 87.62 Sr.upf
Cl 35.45 Cl.upf
CELL_PARAMETERS angstrom
7.131 0.000 0.000
3.565 6.175 0.000
3.565 2.058 5.822
ATOMIC_POSITIONS angstrom
Mo 0.000 0.000 0.000
Sr 5.334 3.080 2.178
Sr 7.131 6.191 2.178
Sr 8.927 3.080 2.178
Cl 10.696 6.175 4.367
Sr 7.131 4.117 5.111

Entry 21:
! ThRh2 (SCAN, single point on PBEsol structure); values from VASP
! * mass density: 13.168 g/cm³
! * spin magnetization: 0.000 μB per formula unit
! * ΔH_f (0 K): -2.5 eV per formula unit
&SYSTEM
  ibrav = 0, nat = 6, ntyp = 2
/
ATOMIC_SPECIES
Rh 102.91 Rh.upf
Th 232.04 Th.upf
CELL_PARAMETERS angstrom
4.672 0.000 0.000
-2.336 4.046 0.000
0.000 0.000 5.841
ATOMIC_POSITIONS angstrom
Rh 0.000 0.000 0.000
Rh 2.336 1.349 1.460
Th 0.000 2.698 1.460
Rh 0.000 2.698 4.381
Rh 0.000 0.000 2.921
Th 2.336 1.349 4.381

Entry 22:
! TaCoRh2 (SCAN, single point on PBEsol structure); values from VASP
! * mass density: 13.849 g/cm³
! * spin magnetization: 1.450 μB per formula unit
! * ΔH_f (0 K): -1.9 eV per formula unit
&SYSTEM
  ibrav = 0, nat = 4, ntyp = 3
/
ATOMIC_SPECIES
Co 58.93 Co.upf
Ta 180.95 Ta.upf
Rh 102.91 Rh.upf
CELL_PARAMETERS angstrom
-2.874 -2.264 -0.785
1.382 -0.549 -3.474
1.987 -2.959 1.258
ATOMIC_POSITIONS angstrom
Co -1.437 -1.132 -0.393
Ta 0.247 -2.886 -1.501
Rh 0.993 -1.479 0.629
Rh 0.691 -0.275 -1.737